Entry 1:
First-principles (PBE) data for Pm2SmHo9 after structural relaxation, as listed in the Alexandria database. Values from VASP.

Output
The calculated total energy is -4.56 eV per atom. Its crystal system is hexagonal. The calculation puts the formation energy at 0.059 eV per atom. As for the energy above the most stable polymorph in this dataset: 0.000 eV/atom.

Quantum ESPRESSO input file:
```
&SYSTEM
  ibrav = 0, nat = 12, ntyp = 3
/
ATOMIC_SPECIES
Ho 164.93 Ho.upf
Sm 150.36 Sm.upf
Pm 145.00 Pm.upf
CELL_PARAMETERS angstrom
-3.313 -0.286 1.103
2.572 -9.609 5.235
0.964 9.793 5.434
ATOMIC_POSITIONS crystal
Ho 0.500 0.825 0.649
Ho 0.500 0.175 0.825
Ho 0.000 0.500 0.000
Ho 0.000 0.000 0.500
Ho 0.500 0.351 0.175
Ho 0.500 0.649 0.825
Ho 0.500 0.175 0.351
Ho 0.000 0.500 0.500
Ho 0.500 0.825 0.175
Sm 0.000 0.000 0.000
Pm 0.000 0.667 0.333
Pm 0.000 0.333 0.667
```

=====

Entry 2:
First-principles (PBE) data for PmSm2Ho7 after structural relaxation, as listed in the Alexandria database. Values from VASP.

Output
The calculated total energy is -3.99 eV per atom. Its crystal system is orthorhombic. The calculation puts the formation energy at 0.635 eV per atom. As for the energy above the most stable polymorph in this dataset: 0.000 eV/atom.

Quantum ESPRESSO input file:
```
&SYSTEM
  ibrav = 0, nat = 10, ntyp = 3
/
ATOMIC_SPECIES
Ho 164.93 Ho.upf
Sm 150.36 Sm.upf
Pm 145.00 Pm.upf
CELL_PARAMETERS angstrom
1.723 7.699 -5.795
-7.914 -2.370 5.251
1.952 2.692 4.158
ATOMIC_POSITIONS crystal
Ho 0.094 0.292 0.500
Ho 0.597 0.403 0.000
Ho 0.906 0.708 0.500
Ho 0.500 0.500 0.500
Ho 0.708 0.906 0.500
Ho 0.403 0.597 0.000
Ho 0.292 0.094 0.500
Sm 0.735 0.265 0.500
Sm 0.265 0.735 0.500
Pm 0.000 0.000 0.000
```

=====

Entry 3:
First-principles (PBE) data for Pm3Sm4Ho after structural relaxation, as listed in the Alexandria database. Values from VASP.

Output
The calculated total energy is -4.68 eV per atom. Its crystal system is orthorhombic. The calculation puts the formation energy at 0.028 eV per atom. As for the energy above the most stable polymorph in this dataset: 0.000 eV/atom.

Quantum ESPRESSO input file:
```
&SYSTEM
  ibrav = 0, nat = 16, ntyp = 3
/
ATOMIC_SPECIES
Sm 150.36 Sm.upf
Pm 145.00 Pm.upf
Ho 164.93 Ho.upf
CELL_PARAMETERS angstrom
6.352 0.000 0.000
0.000 7.347 0.000
0.000 0.000 11.663
ATOMIC_POSITIONS crystal
Sm 0.981 0.125 0.752
Sm 0.649 0.125 0.500
Sm 0.981 0.125 0.248
Sm 0.647 0.125 0.000
Sm 0.481 0.875 0.252
Sm 0.147 0.875 0.500
Sm 0.481 0.875 0.748
Sm 0.149 0.875 0.000
Pm 0.648 0.626 0.000
Pm 0.481 0.376 0.750
Pm 0.981 0.624 0.250
Pm 0.148 0.374 0.500
Pm 0.981 0.624 0.750
Pm 0.481 0.376 0.250
Ho 0.147 0.375 0.000
Ho 0.647 0.625 0.500
```

=====

Entry 4:
First-principles (PBE) data for Pm2SmHo5 after structural relaxation, as listed in the Alexandria database. Values from VASP.

Output
The calculated total energy is -4.47 eV per atom. Its crystal system is monoclinic. The calculation puts the formation energy at 0.170 eV per atom. As for the energy above the most stable polymorph in this dataset: 0.152 eV/atom.

Quantum ESPRESSO input file:
```
&SYSTEM
  ibrav = 0, nat = 16, ntyp = 3
/
ATOMIC_SPECIES
Sm 150.36 Sm.upf
Pm 145.00 Pm.upf
Ho 164.93 Ho.upf
CELL_PARAMETERS angstrom
-7.278 -3.036 -5.968
2.596 -5.959 -0.134
-2.903 4.356 9.517
ATOMIC_POSITIONS crystal
Sm 0.500 0.500 0.500
Sm 0.000 0.000 0.500
Pm 0.176 0.460 0.845
Pm 0.669 0.960 0.845
Pm 0.824 0.540 0.155
Pm 0.331 0.040 0.155
Ho 0.892 0.629 0.606
Ho 0.689 0.055 0.198
Ho 0.943 0.750 0.000
Ho 0.714 0.129 0.606
Ho 0.057 0.250 0.000
Ho 0.286 0.871 0.394
Ho 0.108 0.371 0.394
Ho 0.490 0.445 0.802
Ho 0.311 0.945 0.802
Ho 0.510 0.555 0.198
```